A relaxed Li6TcSn12 crystal, computed with GGA-PBE.

a b c (Å): 7.825 7.825 7.825
angles (deg): 79.78 79.78 79.78
Sites, in units of the cell vectors:
1 Li 0.180 0.623 0.185
2 Li 0.185 0.180 0.623
3 Li 0.377 0.815 0.820
4 Li 0.623 0.185 0.180
5 Li 0.815 0.820 0.377
6 Li 0.820 0.377 0.815
7 Tc 0.000 0.000 0.000
8 Sn 0.042 0.671 0.887
9 Sn 0.113 0.958 0.329
10 Sn 0.169 0.560 0.546
11 Sn 0.329 0.113 0.958
12 Sn 0.440 0.454 0.831
13 Sn 0.454 0.831 0.440
14 Sn 0.546 0.169 0.560
15 Sn 0.560 0.546 0.169
16 Sn 0.671 0.887 0.042
17 Sn 0.831 0.440 0.454
18 Sn 0.887 0.042 0.671
19 Sn 0.958 0.329 0.113

## Properties
SG: No. 148
Density, g/cm3: 5.66
Formation enthalpy at 0 K, eV per atom: -0.07
VASP energy, eV/atom: -3.745
Total magnetization, μB per formula unit: 0.00